The following is a DFT calculation (meta-GGA SCAN) of a crystal of Ca2SnS4 relaxed with PBEsol.

a b c (Å): 7.0392 11.2396 3.9254
angles (deg): 90.00 90.00 90.00
Last column: nearest neighbours and their distance in Å.
Element x y z (fractional)
Ca 0.0938 0.1843 0.0000  7 S 2.79-3.12
Ca 0.4062 0.6843 0.0000  7 S 2.79-3.12
Ca 0.5938 0.3157 0.0000  7 S 2.79-3.12
Ca 0.9062 0.8157 0.0000  7 S 2.79-3.12
Sn 0.0000 0.5000 0.5000  6 S 2.48-2.64
Sn 0.5000 0.0000 0.5000  6 S 2.48-2.64
S 0.1271 0.7061 0.5000  1 Sn 2.48
S 0.2353 0.4470 0.0000  2 Sn 2.64, 2 Ca 2.92-2.93
S 0.2647 0.9470 0.0000  2 Sn 2.64, 2 Ca 2.92-2.93
S 0.3729 0.2061 0.5000  1 Sn 2.48
S 0.6271 0.7939 0.5000  1 Sn 2.48
S 0.7353 0.0530 0.0000  2 Sn 2.64, 2 Ca 2.92-2.93
S 0.7647 0.5530 0.0000  2 Sn 2.64, 2 Ca 2.92-2.93
S 0.8729 0.2939 0.5000  1 Sn 2.48

Computed properties:
ΔE_f (raw) (meV per atom): -1552
Excess energy over the best structure of this formula in the dataset (eV/f.u.): 0.155
Total moment (μB/f.u.): 0.0